[1]
Material: Cd2TcHg
Method: DFT, PBE
State: optimized geometry

Properties
Its formation energy is 0.433 eV per atom. As for the space-group type: Immm. The calculation puts the spin magnetization at 0.00 μB/cell.

Unit cell a=5.9846 b=5.9846 c=5.9846 alpha=150.52 beta=131.32 gamma=57.94
Closest atoms and distances in Å follow each position.
Fractional coordinates of all 4 atoms:
Cd1 0.2291 0.2291 0.0000  2 Tc 2.84, 6 Cd 2.93-3.05
Cd2 0.7709 0.7709 0.0000  2 Tc 2.84, 6 Cd 2.93-3.05
Tc1 0.0000 0.5000 0.5000  4 Cd 2.84, 4 Hg 2.90, 2 Tc 3.05
Hg1 0.5000 0.0000 0.5000  4 Tc 2.90, 2 Hg 3.05, 4 Cd 3.22


[2]
Material: NdDyHoHg
Method: DFT, PBE
State: optimized geometry

Properties
Its formation energy is -0.232 eV per atom. As for the space-group type: P4mm. The calculation puts the spin magnetization at 0.00 μB/cell.

Unit cell a=3.6448 b=3.6448 c=8.8822 alpha=90.00 beta=90.00 gamma=90.00
Closest atoms and distances in Å follow each position.
Fractional coordinates of all 4 atoms:
Nd1 0.0000 0.0000 0.0000  4 Ho 3.60, 4 Dy 3.61, 4 Nd 3.64
Dy1 0.5000 0.5000 0.7160  4 Hg 3.23, 4 Nd 3.61
Ho1 0.5000 0.5000 0.2831  4 Hg 3.20
Hg1 0.0000 0.0000 0.4975  4 Ho 3.20, 4 Dy 3.23


[3]
Material: Pm2MnMoN5
Method: DFT, PBE
State: optimized geometry

Properties
As for the space-group type: Cmc2_1. The calculation puts the spin magnetization at 3.98 μB/cell. The calculation puts the formation energy (no corrections) at -0.77 eV/atom.

Unit cell a=7.1228 b=7.1228 c=9.8939 alpha=90.00 beta=90.00 gamma=152.52
Closest atoms and distances in Å follow each position.
Fractional coordinates of all 18 atoms:
Pm1 0.1249 0.8751 0.5000  3 N 2.36-2.40
Pm2 0.1356 0.8644 0.1325  8 N 2.49-2.73
Pm3 0.8644 0.1356 0.6325  8 N 2.49-2.73
Pm4 0.8751 0.1249 0.0000  3 N 2.36-2.40
Mn1 0.2126 0.7874 0.8482  3 N 1.91-2.10
Mn2 0.7874 0.2126 0.3482  3 N 1.91-2.10
Mo1 0.4342 0.5658 0.2859  4 N 1.83-1.94
Mo2 0.5658 0.4342 0.7859  4 N 1.83-1.94
N1 0.0546 0.9454 0.8808  2 Mo 1.94
N2 0.2942 0.7058 0.4739  2 Mn 2.10
N3 0.3069 0.6931 0.2100  1 Mo 1.91
N4 0.3498 0.6502 0.8321  1 Mn 1.91
N5 0.4965 0.5035 0.1227  1 Mo 1.83
N6 0.5035 0.4965 0.6227  1 Mo 1.83
N7 0.6502 0.3498 0.3321  1 Mn 1.91
N8 0.6931 0.3069 0.7100  1 Mo 1.91
N9 0.7058 0.2942 0.9739  2 Mn 2.10
N10 0.9454 0.0546 0.3808  2 Mo 1.94


[4]
Material: TlFe2W
Method: DFT, PBE
State: optimized geometry

Properties
Its formation energy is 0.706 eV per atom. As for the space-group type: I-4m2. The calculation puts the spin magnetization at 3.74 μB/cell.

Unit cell a=4.8595 b=4.8595 c=4.8595 alpha=132.71 beta=132.71 gamma=69.11
Closest atoms and distances in Å follow each position.
Fractional coordinates of all 4 atoms:
Tl1 0.0000 0.0000 0.0000  8 Fe 2.76-2.79, 4 W 2.79
Fe1 0.5000 0.5000 0.0000  4 Tl 2.76, 4 W 2.79, 4 Fe 2.79
Fe2 0.7500 0.2500 0.5000  4 W 2.76, 4 Fe 2.79, 4 Tl 2.79
W1 0.2500 0.7500 0.5000  8 Fe 2.76-2.79, 4 Tl 2.79


[5]
Material: KSeI4
Method: DFT, PBE
State: optimized geometry

Properties
As for the space-group type: I-4. The calculation puts the spin magnetization at 0.00 μB/cell. The calculation puts the formation energy (no corrections) at -0.40 eV/atom.

Unit cell a=7.3809 b=7.3809 c=7.3809 alpha=105.85 beta=105.85 gamma=116.99
Closest atoms and distances in Å follow each position.
Fractional coordinates of all 6 atoms:
K1 0.0000 0.0000 0.0000  8 I 3.71
Se1 0.2500 0.7500 0.5000  4 I 2.79
I1 0.0275 0.9708 0.4993  1 Se 2.79
I2 0.0292 0.5285 0.0567  1 Se 2.79
I3 0.4715 0.5282 0.5007  1 Se 2.79
I4 0.4718 0.9725 0.9433  1 Se 2.79


[6]
Material: Pa2VMoN6
Method: DFT, PBE
State: optimized geometry

Properties
As for the space-group type: P4mm. The calculation puts the spin magnetization at 0.98 μB/cell. The calculation puts the formation energy (no corrections) at -0.98 eV/atom.

Unit cell a=5.4303 b=5.4303 c=4.6121 alpha=90.00 beta=90.00 gamma=90.00
Closest atoms and distances in Å follow each position.
Fractional coordinates of all 10 atoms:
Pa1 0.0000 0.5000 0.0000  4 N 2.22
Pa2 0.5000 0.0000 0.0000  4 N 2.22
V1 0.0000 0.0000 0.6097  1 N 1.72
Mo1 0.5000 0.5000 0.6018  1 N 1.79
N1 0.0000 0.0000 0.2368  1 V 1.72
N2 0.2462 0.2462 0.7564  1 V 2.01, 1 Mo 2.08, 2 Pa 2.22
N3 0.2462 0.7538 0.7564  1 V 2.01, 1 Mo 2.08, 2 Pa 2.22
N4 0.5000 0.5000 0.2134  1 Mo 1.79
N5 0.7538 0.2462 0.7564  1 V 2.01, 1 Mo 2.08, 2 Pa 2.22
N6 0.7538 0.7538 0.7564  1 V 2.01, 1 Mo 2.08, 2 Pa 2.22


[7]
Material: DyAgBiPd
Method: DFT, PBE
State: optimized geometry

Properties
Its formation energy is -0.482 eV per atom. As for the space-group type: F-43m. The calculation puts the spin magnetization at 0.00 μB/cell.

Unit cell a=4.9998 b=4.9998 c=4.9998 alpha=60.00 beta=60.00 gamma=60.00
Closest atoms and distances in Å follow each position.
Fractional coordinates of all 4 atoms:
Dy1 0.0000 0.0000 0.0000  4 Pd 3.06, 4 Ag 3.06
Ag1 0.2500 0.2500 0.2500  4 Bi 3.06, 4 Dy 3.06
Bi1 0.5000 0.5000 0.5000  4 Pd 3.06, 4 Ag 3.06
Pd1 0.7500 0.7500 0.7500  4 Bi 3.06, 4 Dy 3.06


[8]
Material: Pr2HoEr9
Method: DFT, PBE
State: optimized geometry

Properties
Its formation energy is 0.027 eV per atom. As for the space-group type: P4/mmm. The calculation puts the spin magnetization at 0.00 μB/cell.

Unit cell a=5.0109 b=5.0109 c=15.0204 alpha=90.00 beta=90.00 gamma=90.00
Closest atoms and distances in Å follow each position.
Fractional coordinates of all 12 atoms:
Pr1 0.0000 0.0000 0.1673  12 Er 3.54-3.56
Pr2 0.0000 0.0000 0.8327  12 Er 3.54-3.56
Ho1 0.0000 0.0000 0.5000  12 Er 3.51-3.54
Er1 0.0000 0.5000 0.0000  8 Er 3.54-3.56, 4 Pr 3.55
Er2 0.0000 0.5000 0.3361  2 Ho 3.51, 8 Er 3.51-3.55, 2 Pr 3.56
Er3 0.0000 0.5000 0.6639  2 Ho 3.51, 8 Er 3.51-3.55, 2 Pr 3.56
Er4 0.5000 0.0000 0.0000  8 Er 3.54-3.56, 4 Pr 3.55
Er5 0.5000 0.0000 0.3361  2 Ho 3.51, 8 Er 3.51-3.55, 2 Pr 3.56
Er6 0.5000 0.0000 0.6639  2 Ho 3.51, 8 Er 3.51-3.55, 2 Pr 3.56
Er7 0.5000 0.5000 0.1684  4 Pr 3.54, 8 Er 3.55-3.56
Er8 0.5000 0.5000 0.5000  8 Er 3.51, 4 Ho 3.54
Er9 0.5000 0.5000 0.8316  4 Pr 3.54, 8 Er 3.55-3.56


[9]
Material: AlInBr2
Method: DFT, PBE
State: optimized geometry

Properties
As for the space-group type: I-42d. The calculation puts the spin magnetization at 0.00 μB/cell. The calculation puts the formation energy (no corrections) at -0.32 eV/atom.

Unit cell a=7.0518 b=7.0518 c=7.0518 alpha=107.69 beta=107.69 gamma=113.09
Closest atoms and distances in Å follow each position.
Fractional coordinates of all 8 atoms:
Al1 0.0000 0.0000 0.0000  4 Br 2.97
Al2 0.7500 0.2500 0.5000  4 Br 2.97
In1 0.2500 0.7500 0.5000  4 Br 3.24
In2 0.5000 0.5000 0.0000  4 Br 3.24
Br1 0.1005 0.6250 0.9755  2 Al 2.97, 2 In 3.24
Br2 0.3750 0.3505 0.4755  2 Al 2.97, 2 In 3.24
Br3 0.6495 0.1250 0.0245  2 Al 2.97, 2 In 3.24
Br4 0.8750 0.8995 0.5245  2 Al 2.97, 2 In 3.24


[10]
Material: NbTeIrI2
Method: DFT, PBE
State: optimized geometry

Properties
As for the space-group type: P4/mmm. The calculation puts the spin magnetization at 2.76 μB/cell. The calculation puts the formation energy (no corrections) at 1.00 eV/atom.

Unit cell a=5.3231 b=5.3231 c=5.2870 alpha=90.00 beta=90.00 gamma=90.00
Closest atoms and distances in Å follow each position.
Fractional coordinates of all 5 atoms:
Nb1 0.0000 0.0000 0.0000  8 I 3.75, 4 Te 3.76
Te1 0.5000 0.5000 0.0000  2 Ir 2.64
Ir1 0.5000 0.5000 0.5000  2 Te 2.64, 4 I 2.66
I1 0.0000 0.5000 0.5000  2 Ir 2.66
I2 0.5000 0.0000 0.5000  2 Ir 2.66


What did we get for DOS(E_F)? Answer: 0.54, 1.23, 0.30, 0.59, 0.68, 0.81, 0.59, 1.41, 0.00, 1.02 states/eV/atom, in the order shown.